Re2AsN: relaxed, PBE.

Cell and atoms, written as CIF:
```
data_Re2AsN
_chemical_formula_sum 'Re8 As4 N4'
_space_group_name_H-M_alt 'I -4 2 d'
_space_group_IT_number 122
_space_group_name_Hall 'I -4 2bw'
_cell_length_a 4.5077
_cell_length_b 4.5077
_cell_length_c 12.3988
_cell_angle_alpha 90.00
_cell_angle_beta 90.00
_cell_angle_gamma 90.00
loop_
_atom_site_label
_atom_site_fract_x
_atom_site_fract_y
_atom_site_fract_z
Re1 0.1515 0.2500 0.1250
As1 0.0000 0.0000 0.5000
N1 0.0000 0.0000 0.0000
```

Output
distance to the lowest polymorph of the same formula = 0 meV per atom
VASP energy = -143.99 eV for the cell shown
formation energy (no corrections) = 181 kJ/mol of formula units
V = 15.7 Å³/atom

Re2SbAsN: relaxed, PBE.

Cell and atoms, written as CIF:
```
data_Re2SbAsN
_chemical_formula_sum 'Re2 Sb1 As1 N1'
_space_group_name_H-M_alt 'P 4/m m m'
_space_group_IT_number 123
_space_group_name_Hall '-P 4 2'
_cell_length_a 3.9903
_cell_length_b 3.9903
_cell_length_c 5.3483
_cell_angle_alpha 90.00
_cell_angle_beta 90.00
_cell_angle_gamma 90.00
loop_
_atom_site_label
_atom_site_fract_x
_atom_site_fract_y
_atom_site_fract_z
Re1 0.0000 0.5000 0.0000
Sb1 0.0000 0.0000 0.5000
As1 0.5000 0.5000 0.5000
N1 0.5000 0.5000 0.0000
```

Output
VASP energy = -37.53 eV for the cell shown
formation energy (no corrections) = 430 kJ/mol of formula units
V = 17.0 Å³/atom

Among the records above, which one has the lowest V? Re2AsN

What is the VASP energy in the first record? -143.99 eV for the cell shown

What did the first record say?
Re2AsN: relaxed, PBE.

Cell and atoms, written as CIF:
```
data_Re2AsN
_chemical_formula_sum 'Re8 As4 N4'
_space_group_name_H-M_alt 'I -4 2 d'
_space_group_IT_number 122
_space_group_name_Hall 'I -4 2bw'
_cell_length_a 4.5077
_cell_length_b 4.5077
_cell_length_c 12.3988
_cell_angle_alpha 90.00
_cell_angle_beta 90.00
_cell_angle_gamma 90.00
loop_
_atom_site_label
_atom_site_fract_x
_atom_site_fract_y
_atom_site_fract_z
Re1 0.1515 0.2500 0.1250
As1 0.0000 0.0000 0.5000
N1 0.0000 0.0000 0.0000
```

Output
distance to the lowest polymorph of the same formula = 0 meV per atom
VASP energy = -143.99 eV for the cell shown
formation energy (no corrections) = 181 kJ/mol of formula units
V = 15.7 Å³/atom